# TcW2AuN

Crystalline TcW2AuN at its relaxed geometry (PBE, Alexandria).

Values from the calculation:
Magnetization = 0.274 μB per atom
Mass density = 9.667 Mg/m³
Energy = -5.86 eV/atom
Formation energy without anion corrections = 3710.9 meV per atom

Cell: 4.8481 4.9454 4.8481 Å, 90.00 90.00 90.00°
With the nearest neighbours (Å) after each atom.
Positions (direct):
Au 0.0000 0.0000 0.0000  4 W 2.42, 2 Tc 2.47
Tc 0.0000 0.5000 0.0000  2 Au 2.47
W 0.0000 0.0000 0.5000  2 Au 2.42
W 0.5000 0.0000 0.0000  2 Au 2.42
N 0.5000 0.5000 0.5000  4 Tc 3.43, 8 W 3.46